No. 1
Material: LiCaAg3
Method: DFT, GGA-PBEsol
State: optimized geometry

```
data_LiCaAg3
_chemical_formula_sum 'Li1 Ca1 Ag3'
_space_group_name_H-M_alt 'P m -3 m'
_space_group_IT_number 221
_space_group_name_Hall '-P 4 2 3'
_cell_length_a 4.6370
_cell_length_b 4.6370
_cell_length_c 4.6370
_cell_angle_alpha 90.00
_cell_angle_beta 90.00
_cell_angle_gamma 90.00
loop_
_atom_site_label
_atom_site_type_symbol
_atom_site_fract_x
_atom_site_fract_y
_atom_site_fract_z
Li1 Li 0.0000 0.0000 0.0000
Ca1 Ca 0.5000 0.5000 0.5000
Ag1 Ag 0.0000 0.0000 0.5000
```

=====

No. 2
# GGA-PBEsol Li2CaAg, optimized geometry
data_Li2CaAg
_chemical_formula_sum 'Li8 Ca4 Ag4'
_space_group_name_H-M_alt 'F m -3 m'
_space_group_IT_number 225
_space_group_name_Hall '-F 4 2 3'
_cell_length_a 6.8884
_cell_length_b 6.8884
_cell_length_c 6.8884
_cell_angle_alpha 90.00
_cell_angle_beta 90.00
_cell_angle_gamma 90.00
loop_
_atom_site_label
_atom_site_type_symbol
_atom_site_fract_x
_atom_site_fract_y
_atom_site_fract_z
Li1 Li 0.2500 0.2500 0.2500
Ca1 Ca 0.0000 0.0000 0.0000
Ag1 Ag 0.0000 0.0000 0.5000
# offset from the most stable computed form	0.0482	eV/atom

=====

No. 3
# GGA-PBEsol Li2CaAg, optimized geometry
data_Li2CaAg
_chemical_formula_sum 'Li2 Ca1 Ag1'
_space_group_name_H-M_alt 'P 4/m m m'
_space_group_IT_number 123
_space_group_name_Hall '-P 4 2'
_cell_length_a 3.5806
_cell_length_b 3.5806
_cell_length_c 6.6279
_cell_angle_alpha 90.00
_cell_angle_beta 90.00
_cell_angle_gamma 90.00
loop_
_atom_site_label
_atom_site_type_symbol
_atom_site_fract_x
_atom_site_fract_y
_atom_site_fract_z
Li1 Li 0.0000 0.0000 0.1851
Ca1 Ca 0.5000 0.5000 0.5000
Ag1 Ag 0.5000 0.5000 0.0000
# offset from the most stable computed form	0.0555	eV/atom

=====

No. 4
# GGA-PBEsol Li2CaAg2, optimized geometry
data_Li2CaAg2
_chemical_formula_sum 'Li4 Ca2 Ag4'
_space_group_name_H-M_alt 'I 4/m m m'
_space_group_IT_number 139
_space_group_name_Hall '-I 4 2'
_cell_length_a 4.6286
_cell_length_b 4.6286
_cell_length_c 9.4690
_cell_angle_alpha 90.00
_cell_angle_beta 90.00
_cell_angle_gamma 90.00
loop_
_atom_site_label
_atom_site_type_symbol
_atom_site_fract_x
_atom_site_fract_y
_atom_site_fract_z
Li1 Li 0.0000 0.0000 0.1370
Ca1 Ca 0.0000 0.0000 0.5000
Ag1 Ag 0.0000 0.5000 0.2500
# offset from the most stable computed form	0.0000	eV/atom

=====

Total magnetic moment values (in μB per cell) by entry order: 0.0; 0.0; 0.0; 0.0.
Formation enthalpy at 0 K values (in eV per atom) by entry order: 0.0155; -0.0686; -0.0612; -0.1266.
VASP energy values (in eV/f.u.) by entry order: -13.96; -9.65; -9.62; -13.32.